Entry 1:
Material: Ta2HgF
Method: DFT, PBE-GGA
State: relaxed

Crystal system: cubic
Calculated volume in Å³ per cell: 67
N(E_F) in states/eV/cell: 4.1
Formation energy from raw total energies in eV/atom: 0.22
Space group: Fm-3m (225)
ΔE to the lowest computed polymorph in meV per atom: 0.0

Cell lengths 4.569, 4.569, 4.569 Å; angles 60.00, 60.00, 60.00 degrees
Positions (direct):
Ta (0.250, 0.250, 0.250)
Ta (0.750, 0.750, 0.750)
Hg (0.000, 0.000, 0.000)
F (0.500, 0.500, 0.500)

***

Entry 2:
Material: TaHgF5
Method: DFT, PBE-GGA
State: relaxed

Crystal system: triclinic
Calculated volume in Å³ per cell: 362
Formation energy from raw total energies in eV/atom: -2.68
Space group: P-1 (2)

Cell lengths 7.794, 7.797, 7.846 Å; angles 117.95, 105.75, 104.77 degrees
Positions (direct):
Ta (0.000, 0.000, 0.000)
Ta (0.000, 0.500, 0.500)
Hg (0.486, 0.235, 0.749)
Hg (0.514, 0.765, 0.251)
F (0.034, 0.785, 0.750)
F (0.066, 0.203, 0.932)
F (0.073, 0.418, 0.690)
F (0.270, 0.634, 0.567)
F (0.272, 0.117, 0.189)
F (0.728, 0.883, 0.811)
F (0.730, 0.366, 0.433)
F (0.927, 0.582, 0.310)
F (0.934, 0.797, 0.068)
F (0.966, 0.215, 0.250)

***

Entry 3:
Material: TaHg2F8
Method: DFT, PBE-GGA
State: relaxed

Crystal system: trigonal
Calculated volume in Å³ per cell: 208
N(E_F) in states/eV/cell: 1.9
Formation energy from raw total energies in eV/atom: -2.30
Space group: P-3m1 (164)

Cell lengths 7.370, 7.370, 4.427 Å; angles 90.00, 90.00, 120.00 degrees
Positions (direct):
Ta (0.000, 0.000, 0.000)
Hg (0.333, 0.667, 0.718)
Hg (0.667, 0.333, 0.282)
F (0.125, 0.250, 0.757)
F (0.125, 0.875, 0.757)
F (0.250, 0.125, 0.243)
F (0.333, 0.667, 0.219)
F (0.667, 0.333, 0.781)
F (0.750, 0.875, 0.757)
F (0.875, 0.125, 0.243)
F (0.875, 0.750, 0.243)

***

Entry 4:
Material: Ta3HgF
Method: DFT, PBE-GGA
State: relaxed

Crystal system: cubic
Calculated volume in Å³ per cell: 84
N(E_F) in states/eV/cell: 3.7
Formation energy from raw total energies in eV/atom: 0.33
Space group: Pm-3m (221)
ΔE to the lowest computed polymorph in meV per atom: 0.0

Cell lengths 4.376, 4.376, 4.376 Å; angles 90.00, 90.00, 90.00 degrees
Positions (direct):
Ta (0.000, 0.000, 0.500)
Ta (0.000, 0.500, 0.000)
Ta (0.500, 0.000, 0.000)
Hg (0.500, 0.500, 0.500)
F (0.000, 0.000, 0.000)

***

Entry 5:
Material: Ta2Hg2F11
Method: DFT, PBE-GGA
State: relaxed

Crystal system: monoclinic
Calculated volume in Å³ per cell: 1115
Formation energy from raw total energies in eV/atom: -2.80
Space group: C2/c (15)

Cell lengths 12.525, 12.525, 15.010 Å; angles 124.44, 124.44, 36.10 degrees
Positions (direct):
Ta (0.077, 0.623, 0.480)
Ta (0.085, 0.702, 0.870)
Ta (0.298, 0.915, 0.630)
Ta (0.377, 0.923, 0.020)
Ta (0.623, 0.077, 0.980)
Ta (0.702, 0.085, 0.370)
Ta (0.915, 0.298, 0.130)
Ta (0.923, 0.377, 0.520)
Hg (0.061, 0.527, 0.125)
Hg (0.191, 0.676, 0.214)
Hg (0.324, 0.809, 0.286)
Hg (0.473, 0.939, 0.375)
Hg (0.527, 0.061, 0.625)
Hg (0.676, 0.191, 0.714)
Hg (0.809, 0.324, 0.786)
Hg (0.939, 0.473, 0.875)
F (0.012, 0.896, 0.853)
F (0.034, 0.216, 0.395)
F (0.074, 0.129, 0.543)
F (0.104, 0.988, 0.647)
F (0.106, 0.554, 0.900)
F (0.109, 0.259, 0.256)
F (0.129, 0.074, 0.043)
F (0.145, 0.320, 0.611)
F (0.153, 0.518, 0.349)
F (0.203, 0.402, 0.499)
F (0.216, 0.034, 0.895)
F (0.238, 0.700, 0.013)
F (0.259, 0.109, 0.756)
F (0.276, 0.507, 0.793)
F (0.280, 0.594, 0.569)
F (0.300, 0.762, 0.487)
F (0.320, 0.145, 0.111)
F (0.402, 0.203, 0.999)
F (0.406, 0.720, 0.931)
F (0.446, 0.894, 0.600)
F (0.482, 0.847, 0.151)
F (0.493, 0.724, 0.707)
F (0.507, 0.276, 0.293)
F (0.518, 0.153, 0.849)
F (0.554, 0.106, 0.400)
F (0.594, 0.280, 0.069)
F (0.598, 0.797, 0.001)
F (0.680, 0.855, 0.889)
F (0.700, 0.238, 0.513)
F (0.720, 0.406, 0.431)
F (0.724, 0.493, 0.207)
F (0.741, 0.891, 0.244)
F (0.762, 0.300, 0.987)
F (0.784, 0.966, 0.105)
F (0.797, 0.598, 0.501)
F (0.847, 0.482, 0.651)
F (0.855, 0.680, 0.389)
F (0.871, 0.926, 0.957)
F (0.891, 0.741, 0.744)
F (0.894, 0.446, 0.100)
F (0.896, 0.012, 0.353)
F (0.926, 0.871, 0.457)
F (0.966, 0.784, 0.605)
F (0.988, 0.104, 0.147)

***

Entry 6:
Material: Ta2HgF
Method: DFT, PBE-GGA
State: relaxed

Crystal system: tetragonal
Calculated volume in Å³ per cell: 161
N(E_F) in states/eV/cell: 5.4
Formation energy from raw total energies in eV/atom: 0.45
Space group: I-42d (122)
ΔE to the lowest computed polymorph in meV per atom: 239.1

Cell lengths 8.251, 8.251, 8.251 Å; angles 147.52, 147.52, 46.59 degrees
Positions (direct):
Ta (0.000, 0.625, 0.875)
Ta (0.375, 0.250, 0.375)
Ta (0.750, 0.125, 0.125)
Ta (0.875, 0.000, 0.625)
Hg (0.250, 0.750, 0.500)
Hg (0.500, 0.500, 0.000)
F (0.000, 0.000, 0.000)
F (0.750, 0.250, 0.500)